(1)
VASP calculation (PBE) on a geometry-optimized Ba5Sr5Cd2 structure.

E_form: -1.8 kcal/mol of atoms

Unit cell a=21.833 b=4.466 c=13.736 alpha=90.00 beta=109.01 gamma=90.00
Space group C2/m (No. 12)
Unique sites:
1 Ba 0.000 0.000 0.000
2 Ba 0.106 0.000 0.765
3 Ba 0.241 0.500 0.635
4 Sr 0.000 0.500 0.500
5 Sr 0.080 0.500 0.280
6 Sr 0.184 0.500 0.059
7 Cd 0.117 0.000 0.483

(2)
VASP calculation (PBE) on a geometry-optimized Hf2MnH6 structure.

Raw total energy: -104.02 eV/cell

Unit cell a=10.512 b=4.358 c=3.316 alpha=90.00 beta=108.09 gamma=90.00
Space group C2/m (No. 12)
Unique sites:
1 Hf 0.162 0.000 0.163
2 Mn 0.000 0.500 0.500
3 H 0.000 0.267 0.000
4 H 0.163 0.261 0.663